# PBE KBaRe2Rh, optimized geometry
data_KBaRe2Rh
_cell_length_a 4.6810
_cell_length_b 4.6810
_cell_length_c 5.4676
_cell_angle_alpha 90.00
_cell_angle_beta 90.00
_cell_angle_gamma 90.00
_symmetry_space_group_name_H-M 'P 4/m m m'
_symmetry_Int_Tables_number 123
_symmetry_space_group_name_Hall '-P 4 2'
loop_
_atom_site_label
_atom_site_fract_x
_atom_site_fract_y
_atom_site_fract_z
K1 0.0000 0.0000 0.0000
Ba1 0.0000 0.0000 0.5000
Re1 0.0000 0.5000 0.0000
Rh1 0.5000 0.5000 0.5000
# Total DFT energy (no corrections): -3.939 eV per atom

# PBE ScPaTiNb, optimized geometry
data_ScPaTiNb
_cell_length_a 6.8960
_cell_length_b 6.8960
_cell_length_c 6.8960
_cell_angle_alpha 90.00
_cell_angle_beta 90.00
_cell_angle_gamma 90.00
_symmetry_space_group_name_H-M 'F -4 3 m'
_symmetry_Int_Tables_number 216
_symmetry_space_group_name_Hall 'F -4 2 3'
loop_
_atom_site_label
_atom_site_fract_x
_atom_site_fract_y
_atom_site_fract_z
Sc1 0.0000 0.0000 0.0000
Pa1 0.0000 0.0000 0.5000
Ti1 0.2500 0.2500 0.2500
Nb1 0.2500 0.2500 0.7500
# Total DFT energy (no corrections): -8.340 eV per atom

# PBE Sr2Bi5Pt4, optimized geometry
data_Sr2Bi5Pt4
_cell_length_a 12.6337
_cell_length_b 6.8428
_cell_length_c 9.2405
_cell_angle_alpha 90.00
_cell_angle_beta 131.69
_cell_angle_gamma 90.00
_symmetry_space_group_name_H-M 'C 1 2/m 1'
_symmetry_Int_Tables_number 12
_symmetry_space_group_name_Hall '-C 2y'
loop_
_atom_site_label
_atom_site_fract_x
_atom_site_fract_y
_atom_site_fract_z
Sr1 0.2216 0.0000 0.1963
Bi1 0.0000 0.5000 0.0000
Bi2 0.0191 0.2443 0.3285
Pt1 0.2181 0.0000 0.8518
Pt2 0.2488 0.0000 0.5759
# Total DFT energy (no corrections): -4.624 eV per atom

# PBE Ba2HoInSe5, optimized geometry
data_Ba2HoInSe5
_cell_length_a 4.3042
_cell_length_b 19.1653
_cell_length_c 13.4894
_cell_angle_alpha 90.00
_cell_angle_beta 90.00
_cell_angle_gamma 90.00
_symmetry_space_group_name_H-M 'C m c 21'
_symmetry_Int_Tables_number 36
_symmetry_space_group_name_Hall 'C 2c -2'
loop_
_atom_site_label
_atom_site_fract_x
_atom_site_fract_y
_atom_site_fract_z
Ba1 0.0000 0.1185 0.0000
Ba2 0.0000 0.1319 0.6327
Ho1 0.0000 0.2111 0.3375
In1 0.0000 0.4453 0.7565
Se1 0.0000 0.0522 0.3708
Se2 0.0000 0.2912 0.9758
Se3 0.0000 0.3116 0.6899
Se4 0.0000 0.3544 0.3196
Se5 0.0000 0.4962 0.0864
# Energy relative to the elements, uncorrected: -157 kJ/mol of atoms

# PBE LiTl2F8, optimized geometry
data_LiTl2F8
_cell_length_a 9.3783
_cell_length_b 6.8423
_cell_length_c 4.8082
_cell_angle_alpha 90.00
_cell_angle_beta 111.26
_cell_angle_gamma 90.00
_symmetry_space_group_name_H-M 'C 1 2/m 1'
_symmetry_Int_Tables_number 12
_symmetry_space_group_name_Hall '-C 2y'
loop_
_atom_site_label
_atom_site_fract_x
_atom_site_fract_y
_atom_site_fract_z
Li1 0.0000 0.0000 0.0000
Tl1 0.1761 0.5000 0.4079
F1 0.0760 0.5000 0.7920
F2 0.0936 0.0000 0.6849
F3 0.1590 0.1977 0.2323
# Energy relative to the elements, uncorrected: -174 kJ/mol of atoms
# ΔE to the lowest computed polymorph: 0 meV per atom

# PBE Sr5Cd3, optimized geometry
data_Sr5Cd3
_cell_length_a 9.0606
_cell_length_b 11.6356
_cell_length_c 5.7445
_cell_angle_alpha 90.00
_cell_angle_beta 90.00
_cell_angle_gamma 90.00
_symmetry_space_group_name_H-M 'C m m m'
_symmetry_Int_Tables_number 65
_symmetry_space_group_name_Hall '-C 2 2'
loop_
_atom_site_label
_atom_site_fract_x
_atom_site_fract_y
_atom_site_fract_z
Sr1 0.0000 0.0000 0.0000
Sr2 0.2106 0.5000 0.5000
Sr3 0.2500 0.2500 0.0000
Cd1 0.0000 0.2144 0.5000
Cd2 0.0000 0.5000 0.0000
# ΔE to the lowest computed polymorph: 81 meV per atom

# PBE ReAsRu2, optimized geometry
data_ReAsRu2
_cell_length_a 5.7359
_cell_length_b 7.1733
_cell_length_c 2.8326
_cell_angle_alpha 90.00
_cell_angle_beta 90.00
_cell_angle_gamma 90.00
_symmetry_space_group_name_H-M 'C m m m'
_symmetry_Int_Tables_number 65
_symmetry_space_group_name_Hall '-C 2 2'
loop_
_atom_site_label
_atom_site_fract_x
_atom_site_fract_y
_atom_site_fract_z
Re1 0.0000 0.0000 0.0000
As1 0.0000 0.5000 0.0000
Ru1 0.2500 0.2500 0.5000
# Total DFT energy (no corrections): -8.650 eV per atom

# PBE BeSnOs, optimized geometry
data_BeSnOs
_cell_length_a 3.1542
_cell_length_b 3.1542
_cell_length_c 8.8849
_cell_angle_alpha 90.00
_cell_angle_beta 90.00
_cell_angle_gamma 90.00
_symmetry_space_group_name_H-M 'I 4 m m'
_symmetry_Int_Tables_number 107
_symmetry_space_group_name_Hall 'I 4 -2'
loop_
_atom_site_label
_atom_site_fract_x
_atom_site_fract_y
_atom_site_fract_z
Be1 0.0000 0.0000 0.0000
Sn1 0.0000 0.0000 0.7019
Os1 0.0000 0.0000 0.3972
# ΔE to the lowest computed polymorph: 40 meV per atom